(1)
Material: Pm3SmY2
Method: DFT, PBE
State: optimized geometry

Energy of formation   0.09 eV/f.u.
Volume   33.55 Å³/atom
D(E_F)   8.601 states/eV/f.u.

Geometry as POSCAR:
```
Pm3SmY2
1.0
8.877 -3.621 0.000
8.877 3.621 0.000
-0.022 0.000 6.262
Pm Sm Y
6 2 4
Cartesian
8.860 2.715 4.697 Pm
5.899 0.906 3.647 Pm
5.910 -0.906 0.515 Pm
11.821 0.906 5.747 Pm
11.832 -0.906 2.616 Pm
8.871 -2.715 1.566 Pm
8.871 0.904 1.566 Sm
8.860 -0.904 4.697 Sm
2.944 0.904 5.742 Y
2.955 -0.904 2.611 Y
14.777 0.904 3.651 Y
14.788 -0.904 0.520 Y
```

(2)
Material: LuSnRu
Method: DFT, PBE
State: optimized geometry

Energy of formation   -1.21 eV/f.u.
Volume   22.69 Å³/atom
D(E_F)   2.167 states/eV/f.u.

Geometry as POSCAR:
```
LuSnRu
1.0
0.000 3.241 3.241
3.241 0.000 3.241
3.241 3.241 0.000
Lu Sn Ru
1 1 1
Cartesian
0.000 0.000 0.000 Lu
3.241 3.241 3.241 Sn
1.620 1.620 1.620 Ru
```

(3)
Material: Li4ScPb
Method: DFT, PBE
State: optimized geometry

Energy of formation   -0.37 eV/f.u.
Volume   19.10 Å³/atom
D(E_F)   4.055 states/eV/f.u.

Geometry as POSCAR:
```
Li4ScPb
1.0
0.000 3.855 3.855
3.855 0.000 3.855
3.855 3.855 0.000
Li Sc Pb
4 1 1
Cartesian
0.967 0.967 0.967 Li
2.888 2.888 0.967 Li
2.888 0.967 2.888 Li
0.967 2.888 2.888 Li
3.855 3.855 3.855 Sc
5.783 5.783 5.783 Pb
```